PrMgNb: optimized geometry, PBE. Values from VASP.

Energy above the lowest structure with this stoichiometry ... 0 meV/atom
Space group ... No. 216

Geometry as Quantum ESPRESSO input:
```
&SYSTEM
  ibrav = 0, nat = 3, ntyp = 3
/
ATOMIC_SPECIES
Pr 140.91 Pr.upf
Mg 24.30 Mg.upf
Nb 92.91 Nb.upf
CELL_PARAMETERS angstrom
0.000 3.536 3.536
3.536 0.000 3.536
3.536 3.536 0.000
ATOMIC_POSITIONS crystal
Pr 0.000 0.000 0.000
Mg 0.500 0.500 0.500
Nb 0.750 0.750 0.750
```